# 1
This record from the Alexandria database describes a relaxed Pr3Nd2Er crystal. The functional is PBE.

- DFT total energy (eV for the cell shown) = -55.60
- crystal system = monoclinic
- ΔH_f (0 K) (eV per atom) = 0.106
- D(E_F) (states/eV/f.u.) = 10.12

Unit cell a=7.004 b=7.004 c=17.913 alpha=101.80 beta=101.80 gamma=29.73
Element x y z (fractional)
Pr: 0.062 0.062 0.168
Pr: 0.270 0.270 0.664
Pr: 0.374 0.374 0.008
Pr: 0.626 0.626 0.992
Pr: 0.730 0.730 0.336
Pr: 0.938 0.938 0.832
Nd: 0.199 0.199 0.835
Nd: 0.370 0.370 0.501
Nd: 0.630 0.630 0.499
Nd: 0.801 0.801 0.165
Er: 0.457 0.457 0.320
Er: 0.543 0.543 0.680

---

# 2
This record from the Alexandria database describes a relaxed Pr5Nd4Er crystal. The functional is PBE.

- DFT total energy (eV for the cell shown) = -47.40
- crystal system = monoclinic
- ΔH_f (0 K) (eV per atom) = 0.013
- D(E_F) (states/eV/f.u.) = 15.68

Unit cell a=9.743 b=9.743 c=10.419 alpha=105.53 beta=105.53 gamma=21.76
Element x y z (fractional)
Pr: 0.000 0.000 0.000
Pr: 0.200 0.200 0.100
Pr: 0.401 0.401 0.697
Pr: 0.599 0.599 0.303
Pr: 0.800 0.800 0.900
Nd: 0.199 0.199 0.600
Nd: 0.401 0.401 0.205
Nd: 0.599 0.599 0.795
Nd: 0.801 0.801 0.400
Er: 0.000 0.000 0.500

---

# 3
This record from the Alexandria database describes a relaxed Pr5Nd5Er2 crystal. The functional is PBE.

- DFT total energy (eV for the cell shown) = -56.67
- crystal system = monoclinic
- ΔH_f (0 K) (eV per atom) = 0.016
- D(E_F) (states/eV/f.u.) = 19.03

Unit cell a=8.209 b=8.209 c=11.594 alpha=115.13 beta=115.13 gamma=36.81
Element x y z (fractional)
Pr: 0.000 0.000 0.000
Pr: 0.165 0.165 0.499
Pr: 0.252 0.252 0.251
Pr: 0.748 0.748 0.749
Pr: 0.835 0.835 0.501
Nd: 0.333 0.333 0.000
Nd: 0.419 0.419 0.751
Nd: 0.500 0.500 0.500
Nd: 0.581 0.581 0.249
Nd: 0.667 0.667 0.000
Er: 0.084 0.084 0.751
Er: 0.916 0.916 0.249

---

# 4
This record from the Alexandria database describes a relaxed Pr12NdEr5 crystal. The functional is PBE.

- DFT total energy (eV for the cell shown) = -84.52
- crystal system = monoclinic
- ΔH_f (0 K) (eV per atom) = 0.023
- D(E_F) (states/eV/f.u.) = 29.16

Unit cell a=10.957 b=5.183 c=10.968 alpha=90.00 beta=90.31 gamma=90.00
Element x y z (fractional)
Pr: 0.002 0.000 0.168
Pr: 0.166 0.500 0.666
Pr: 0.170 0.500 0.002
Pr: 0.332 0.000 0.498
Pr: 0.337 0.000 0.837
Pr: 0.497 0.500 0.330
Pr: 0.503 0.500 0.670
Pr: 0.663 0.000 0.163
Pr: 0.668 0.000 0.502
Pr: 0.830 0.500 0.998
Pr: 0.834 0.500 0.334
Pr: 0.998 0.000 0.832
Nd: 0.000 0.000 0.500
Er: 0.168 0.500 0.332
Er: 0.333 0.000 0.167
Er: 0.500 0.500 0.000
Er: 0.667 0.000 0.833
Er: 0.832 0.500 0.668

---

# 5
This record from the Alexandria database describes a relaxed PrNd2Er crystal. The functional is PBE.

- DFT total energy (eV for the cell shown) = -73.33
- crystal system = cubic
- ΔH_f (0 K) (eV per atom) = 0.136
- D(E_F) (states/eV/f.u.) = 10.53

Unit cell a=8.202 b=8.202 c=8.202 alpha=90.00 beta=90.00 gamma=90.00
Element x y z (fractional)
Pr: 0.000 0.000 0.000
Pr: 0.000 0.500 0.500
Pr: 0.500 0.000 0.500
Pr: 0.500 0.500 0.000
Nd: 0.250 0.250 0.250
Nd: 0.250 0.250 0.750
Nd: 0.250 0.750 0.250
Nd: 0.250 0.750 0.750
Nd: 0.750 0.250 0.250
Nd: 0.750 0.250 0.750
Nd: 0.750 0.750 0.250
Nd: 0.750 0.750 0.750
Er: 0.000 0.000 0.500
Er: 0.000 0.500 0.000
Er: 0.500 0.000 0.000
Er: 0.500 0.500 0.500

---

# 6
This record from the Alexandria database describes a relaxed Pr5Nd2Er2 crystal. The functional is PBE.

- DFT total energy (eV for the cell shown) = -81.40
- crystal system = orthorhombic
- ΔH_f (0 K) (eV per atom) = 0.207
- D(E_F) (states/eV/f.u.) = 13.16

Unit cell a=10.256 b=10.256 c=10.256 alpha=85.13 beta=108.30 gamma=140.44
Element x y z (fractional)
Pr: 0.246 0.053 0.299
Pr: 0.246 0.447 0.693
Pr: 0.398 0.021 0.091
Pr: 0.398 0.807 0.877
Pr: 0.454 0.448 0.506
Pr: 0.754 0.553 0.307
Pr: 0.754 0.947 0.701
Pr: 0.931 0.307 0.909
Pr: 0.931 0.521 0.123
Pr: 0.942 0.948 0.494
Nd: 0.839 0.217 0.370
Nd: 0.839 0.969 0.122
Nd: 0.847 0.469 0.630
Nd: 0.847 0.717 0.878
Er: 0.324 0.324 0.000
Er: 0.324 0.824 0.500
Er: 0.380 0.639 0.242
Er: 0.397 0.139 0.758

---

# 7
This record from the Alexandria database describes a relaxed Pr2Nd5Er3 crystal. The functional is PBE.

- DFT total energy (eV for the cell shown) = -86.82
- crystal system = orthorhombic
- ΔH_f (0 K) (eV per atom) = 0.368
- D(E_F) (states/eV/f.u.) = 14.48

Unit cell a=12.542 b=12.542 c=12.542 alpha=135.39 beta=55.83 gamma=148.18
Element x y z (fractional)
Pr: 0.121 0.100 0.221
Pr: 0.379 0.600 0.979
Pr: 0.621 0.400 0.021
Pr: 0.879 0.900 0.779
Nd: 0.002 0.250 0.752
Nd: 0.127 0.407 0.534
Nd: 0.250 0.750 0.500
Nd: 0.373 0.907 0.280
Nd: 0.498 0.250 0.248
Nd: 0.502 0.750 0.752
Nd: 0.627 0.093 0.720
Nd: 0.750 0.250 0.500
Nd: 0.873 0.593 0.466
Nd: 0.998 0.750 0.248
Er: 0.119 0.753 0.872
Er: 0.250 0.250 0.000
Er: 0.381 0.253 0.635
Er: 0.619 0.747 0.365
Er: 0.750 0.750 0.000
Er: 0.881 0.247 0.128

---

# 8
This record from the Alexandria database describes a relaxed Pr2Nd7Er3 crystal. The functional is PBE.

- DFT total energy (eV for the cell shown) = -55.84
- crystal system = monoclinic
- ΔH_f (0 K) (eV per atom) = 0.065
- D(E_F) (states/eV/f.u.) = 17.98

Unit cell a=6.503 b=3.588 c=17.753 alpha=90.00 beta=95.81 gamma=90.00
Element x y z (fractional)
Pr: 0.059 0.000 0.171
Pr: 0.941 0.000 0.829
Nd: 0.000 0.500 0.500
Nd: 0.228 0.000 0.670
Nd: 0.258 0.000 0.996
Nd: 0.279 0.500 0.336
Nd: 0.721 0.500 0.664
Nd: 0.742 0.000 0.004
Nd: 0.772 0.000 0.330
Er: 0.455 0.500 0.841
Er: 0.500 0.000 0.500
Er: 0.545 0.500 0.159

---

# 9
This record from the Alexandria database describes a relaxed Pr2Nd2Er3 crystal. The functional is PBE.

- DFT total energy (eV for the cell shown) = -65.29
- crystal system = monoclinic
- ΔH_f (0 K) (eV per atom) = 0.020
- D(E_F) (states/eV/f.u.) = 10.11

Unit cell a=11.432 b=5.106 c=8.102 alpha=90.00 beta=98.12 gamma=90.00
Element x y z (fractional)
Pr: 0.213 0.000 0.145
Pr: 0.287 0.500 0.855
Pr: 0.713 0.500 0.145
Pr: 0.787 0.000 0.855
Nd: 0.071 0.000 0.711
Nd: 0.429 0.500 0.289
Nd: 0.571 0.500 0.711
Nd: 0.929 0.000 0.289
Er: 0.000 0.500 0.000
Er: 0.143 0.500 0.428
Er: 0.357 0.000 0.572
Er: 0.500 0.000 0.000
Er: 0.643 0.000 0.428
Er: 0.857 0.500 0.572

---

# 10
This record from the Alexandria database describes a relaxed PrNdEr crystal. The functional is PBE.

- DFT total energy (eV for the cell shown) = -13.92
- crystal system = hexagonal
- ΔH_f (0 K) (eV per atom) = 0.065
- D(E_F) (states/eV/f.u.) = 4.21

Unit cell a=5.755 b=5.755 c=3.535 alpha=90.00 beta=90.00 gamma=120.00
Element x y z (fractional)
Pr: 0.000 0.000 0.000
Nd: 0.667 0.333 0.500
Er: 0.333 0.667 0.500

---

# 11
This record from the Alexandria database describes a relaxed Pr4Nd4Er crystal. The functional is PBE.

- DFT total energy (eV for the cell shown) = -42.62
- crystal system = triclinic
- ΔH_f (0 K) (eV per atom) = 0.014
- D(E_F) (states/eV/f.u.) = 13.77

Unit cell a=5.209 b=8.215 c=8.221 alpha=107.57 beta=108.41 gamma=90.06
Element x y z (fractional)
Pr: 0.165 0.001 0.330
Pr: 0.278 0.667 0.557
Pr: 0.722 0.333 0.443
Pr: 0.835 0.999 0.670
Nd: 0.055 0.333 0.110
Nd: 0.390 0.331 0.779
Nd: 0.610 0.669 0.221
Nd: 0.945 0.667 0.890
Er: 0.500 0.000 0.000

---

# 12
This record from the Alexandria database describes a relaxed Pr15NdEr4 crystal. The functional is PBE.

- DFT total energy (eV for the cell shown) = -94.50
- crystal system = tetragonal
- ΔH_f (0 K) (eV per atom) = 0.010
- D(E_F) (states/eV/f.u.) = 27.63

Unit cell a=5.198 b=5.198 c=25.882 alpha=90.00 beta=90.00 gamma=90.00
Element x y z (fractional)
Pr: 0.000 0.000 0.000
Pr: 0.000 0.000 0.202
Pr: 0.000 0.000 0.401
Pr: 0.000 0.000 0.599
Pr: 0.000 0.000 0.798
Pr: 0.000 0.500 0.102
Pr: 0.000 0.500 0.301
Pr: 0.000 0.500 0.500
Pr: 0.000 0.500 0.699
Pr: 0.000 0.500 0.898
Pr: 0.500 0.000 0.102
Pr: 0.500 0.000 0.301
Pr: 0.500 0.000 0.500
Pr: 0.500 0.000 0.699
Pr: 0.500 0.000 0.898
Nd: 0.500 0.500 0.000
Er: 0.500 0.500 0.202
Er: 0.500 0.500 0.401
Er: 0.500 0.500 0.599
Er: 0.500 0.500 0.798

---

# 13
This record from the Alexandria database describes a relaxed PrNd2Er3 crystal. The functional is PBE.

- DFT total energy (eV for the cell shown) = -53.49
- crystal system = orthorhombic
- ΔH_f (0 K) (eV per atom) = 0.210
- D(E_F) (states/eV/f.u.) = 8.98

Unit cell a=8.156 b=8.156 c=6.409 alpha=90.00 beta=90.00 gamma=108.39
Element x y z (fractional)
Pr: 0.174 0.826 0.500
Pr: 0.826 0.174 0.000
Nd: 0.262 0.377 0.276
Nd: 0.377 0.262 0.776
Nd: 0.623 0.738 0.276
Nd: 0.738 0.623 0.776
Er: 0.084 0.916 0.024
Er: 0.122 0.514 0.821
Er: 0.486 0.878 0.821
Er: 0.514 0.122 0.321
Er: 0.878 0.486 0.321
Er: 0.916 0.084 0.524

---

# 14
This record from the Alexandria database describes a relaxed Pr5Nd5Er crystal. The functional is PBE.

- DFT total energy (eV for the cell shown) = -49.77
- crystal system = monoclinic
- ΔH_f (0 K) (eV per atom) = 0.230
- D(E_F) (states/eV/f.u.) = 18.02

Unit cell a=10.108 b=10.108 c=7.099 alpha=109.66 beta=109.66 gamma=35.69
Element x y z (fractional)
Pr: 0.000 0.000 0.000
Pr: 0.326 0.326 0.583
Pr: 0.327 0.327 0.072
Pr: 0.673 0.673 0.928
Pr: 0.674 0.674 0.417
Nd: 0.126 0.126 0.632
Nd: 0.170 0.170 0.176
Nd: 0.500 0.500 0.500
Nd: 0.830 0.830 0.824
Nd: 0.874 0.874 0.368
Er: 0.500 0.500 0.000

---

# 15
This record from the Alexandria database describes a relaxed Pr12Nd5Er3 crystal. The functional is PBE.

- DFT total energy (eV for the cell shown) = -304.78
- crystal system = cubic
- ΔH_f (0 K) (eV per atom) = 0.934
- D(E_F) (states/eV/f.u.) = 40.81

Unit cell a=16.324 b=16.324 c=16.324 alpha=109.47 beta=109.47 gamma=109.47
Element x y z (fractional)
Pr: 0.065 0.637 0.405
Pr: 0.065 0.928 0.660
Pr: 0.072 0.233 0.137
Pr: 0.072 0.340 0.935
Pr: 0.095 0.733 0.660
Pr: 0.095 0.863 0.435
Pr: 0.137 0.072 0.233
Pr: 0.137 0.565 0.905
Pr: 0.160 0.233 0.595
Pr: 0.160 0.428 0.565
Pr: 0.233 0.137 0.072
Pr: 0.233 0.595 0.160
Pr: 0.267 0.340 0.905
Pr: 0.267 0.428 0.363
Pr: 0.340 0.905 0.267
Pr: 0.340 0.935 0.072
Pr: 0.363 0.267 0.428
Pr: 0.363 0.595 0.935
Pr: 0.405 0.065 0.637
Pr: 0.405 0.840 0.767
Pr: 0.428 0.363 0.267
Pr: 0.428 0.565 0.160
Pr: 0.435 0.095 0.863
Pr: 0.435 0.840 0.572
Pr: 0.565 0.160 0.428
Pr: 0.565 0.905 0.137
Pr: 0.572 0.435 0.840
Pr: 0.572 0.637 0.733
Pr: 0.595 0.160 0.233
Pr: 0.595 0.935 0.363
Pr: 0.637 0.405 0.065
Pr: 0.637 0.733 0.572
Pr: 0.660 0.065 0.928
Pr: 0.660 0.095 0.733
Pr: 0.733 0.572 0.637
Pr: 0.733 0.660 0.095
Pr: 0.767 0.405 0.840
Pr: 0.767 0.863 0.928
Pr: 0.840 0.572 0.435
Pr: 0.840 0.767 0.405
Pr: 0.863 0.435 0.095
Pr: 0.863 0.928 0.767
Pr: 0.905 0.137 0.565
Pr: 0.905 0.267 0.340
Pr: 0.928 0.660 0.065
Pr: 0.928 0.767 0.863
Pr: 0.935 0.072 0.340
Pr: 0.935 0.363 0.595
Nd: 0.000 0.000 0.000
Nd: 0.000 0.000 0.500
Nd: 0.000 0.500 0.000
Nd: 0.000 0.500 0.500
Nd: 0.125 0.750 0.875
Nd: 0.125 0.875 0.250
Nd: 0.250 0.125 0.875
Nd: 0.250 0.625 0.375
Nd: 0.375 0.250 0.625
Nd: 0.375 0.625 0.750
Nd: 0.500 0.000 0.000
Nd: 0.500 0.000 0.500
Nd: 0.500 0.500 0.000
Nd: 0.500 0.500 0.500
Nd: 0.625 0.375 0.250
Nd: 0.625 0.750 0.375
Nd: 0.750 0.375 0.625
Nd: 0.750 0.875 0.125
Nd: 0.875 0.125 0.750
Nd: 0.875 0.250 0.125
Er: 0.125 0.250 0.375
Er: 0.125 0.375 0.750
Er: 0.250 0.375 0.125
Er: 0.250 0.875 0.625
Er: 0.375 0.125 0.250
Er: 0.375 0.750 0.125
Er: 0.625 0.250 0.875
Er: 0.625 0.875 0.750
Er: 0.750 0.125 0.375
Er: 0.750 0.625 0.875
Er: 0.875 0.625 0.250
Er: 0.875 0.750 0.625

---

# 16
This record from the Alexandria database describes a relaxed Pr3NdEr7 crystal. The functional is PBE.

- DFT total energy (eV for the cell shown) = -49.73
- crystal system = triclinic
- ΔH_f (0 K) (eV per atom) = 0.120
- D(E_F) (states/eV/f.u.) = 16.95

Unit cell a=6.530 b=6.673 c=8.643 alpha=99.05 beta=98.72 gamma=94.99
Element x y z (fractional)
Pr: 0.000 0.000 0.000
Pr: 0.202 0.563 0.160
Pr: 0.798 0.437 0.840
Nd: 0.500 0.000 0.500
Er: 0.014 0.764 0.584
Er: 0.273 0.277 0.784
Er: 0.442 0.793 0.856
Er: 0.500 0.500 0.500
Er: 0.558 0.207 0.144
Er: 0.727 0.723 0.216
Er: 0.986 0.236 0.416

---

# 17
This record from the Alexandria database describes a relaxed Pr7Nd3Er2 crystal. The functional is PBE.

- DFT total energy (eV for the cell shown) = -55.95
- crystal system = monoclinic
- ΔH_f (0 K) (eV per atom) = 0.078
- D(E_F) (states/eV/f.u.) = 18.40

Unit cell a=6.581 b=3.626 c=17.788 alpha=90.00 beta=90.26 gamma=90.00
Element x y z (fractional)
Pr: 0.000 0.000 0.000
Pr: 0.180 0.500 0.169
Pr: 0.243 0.500 0.495
Pr: 0.323 0.000 0.831
Pr: 0.677 0.000 0.169
Pr: 0.757 0.500 0.505
Pr: 0.820 0.500 0.831
Nd: 0.001 0.000 0.338
Nd: 0.500 0.500 0.000
Nd: 0.999 0.000 0.662
Er: 0.490 0.500 0.670
Er: 0.510 0.500 0.330

---

# 18
This record from the Alexandria database describes a relaxed Pr2NdEr9 crystal. The functional is PBE.

- DFT total energy (eV for the cell shown) = -55.08
- crystal system = tetragonal
- ΔH_f (0 K) (eV per atom) = 0.026
- D(E_F) (states/eV/f.u.) = 17.41

Unit cell a=5.028 b=5.028 c=15.082 alpha=90.00 beta=90.00 gamma=90.00
Element x y z (fractional)
Pr: 0.000 0.000 0.167
Pr: 0.000 0.000 0.833
Nd: 0.000 0.000 0.500
Er: 0.000 0.500 0.000
Er: 0.000 0.500 0.334
Er: 0.000 0.500 0.666
Er: 0.500 0.000 0.000
Er: 0.500 0.000 0.334
Er: 0.500 0.000 0.666
Er: 0.500 0.500 0.167
Er: 0.500 0.500 0.500
Er: 0.500 0.500 0.833